Below is crystalline Zr2Cu4Se5 at its relaxed geometry, with properties calculated at the PBE-GGA level.

Lattice parameters (Å, degrees): 3.9282 3.9282 16.5704 83.19 83.19 60.00
Last column: nearest neighbours and their distance in Å.
Positions (direct):
Zr: 0.1379 0.1379 0.5864  6 Se 2.68-2.86
Zr: 0.8621 0.8621 0.4136  6 Se 2.68-2.86
Cu: 0.6850 0.6850 0.9451  4 Se 2.40-2.58
Cu: 0.5843 0.5843 0.2470  4 Se 2.38-2.47
Cu: 0.4157 0.4157 0.7530  4 Se 2.38-2.47
Cu: 0.3150 0.3150 0.0549  4 Se 2.40-2.58
Se: 0.7690 0.7690 0.6930  3 Cu 2.47
Se: 0.6326 0.6326 0.1021  5 Cu 2.38-2.58
Se: 0.5000 0.5000 0.5000  6 Zr 2.68
Se: 0.3674 0.3674 0.8979  5 Cu 2.38-2.58
Se: 0.2310 0.2310 0.3070  3 Cu 2.47

Summary:
**Uncorrected energy**: -56.47 eV for the cell shown
**Formation energy from raw total energies**: -505.7 meV/atom
**N(E_F)**: 0.5367 states/eV/atom